The following is a GGA-PBE calculation of a relaxed structure of Ba2CuPdI, from the Alexandria database.

abc: 6.148 6.148 4.859
angles: 90.00 90.00 90.00
Space group P4/mmm (No. 123)
One atom of each set of equivalent atoms:
Ba 0.000 0.500 0.000
Cu 0.000 0.000 0.500
Pd 0.000 0.000 0.000
I 0.500 0.500 0.500

## Properties
M_tot = 0.0 Bohr magnetons per cell
calculated total energy = -3.516 eV per atom